# K2LaSb PBEsol optimized geometry
# Energy = -3.115 eV/atom
# D(E_F) = 4.49 states/eV/f.u.
# Formation energy (no corrections) = -1.672 kcal/mol of atoms
# Total magnetic moment = 0.16 μB per formula unit
data_K2LaSb
_chemical_formula_sum 'K4 La2 Sb2'
_symmetry_space_group_name_H-M 'I -4 m 2'
_symmetry_Int_Tables_number 119
_symmetry_space_group_name_Hall 'I -4 -2'
_cell_length_a 5.3927
_cell_length_b 5.3927
_cell_length_c 9.2628
_cell_angle_alpha 90.00
_cell_angle_beta 90.00
_cell_angle_gamma 90.00
loop_
_atom_site_label
_atom_site_type_symbol
_atom_site_fract_x
_atom_site_fract_y
_atom_site_fract_z
K1 K 0.0000 0.0000 0.0000
K2 K 0.0000 0.5000 0.2500
La1 La 0.0000 0.0000 0.5000
Sb1 Sb 0.0000 0.5000 0.7500